# NaAgPdSe3 PBE optimized geometry
data_NaAgPdSe3
_chemical_formula_sum 'Na4 Ag4 Pd4 Se12'
_cell_length_a 3.8140
_cell_length_b 13.1551
_cell_length_c 10.3335
_cell_angle_alpha 90.00
_cell_angle_beta 90.00
_cell_angle_gamma 90.00
_symmetry_space_group_name_H-M 'C m c m'
_symmetry_Int_Tables_number 63
_symmetry_space_group_name_Hall '-C 2c 2'
loop_
_atom_site_label
_atom_site_type_symbol
_atom_site_fract_x
_atom_site_fract_y
_atom_site_fract_z
_atom_site_occupancy
Na1 Na 0.0000 0.2480 0.2500 1
Ag1 Ag 0.0000 0.0681 0.7500 1
Pd1 Pd 0.0000 0.5000 0.0000 1
Se1 Se 0.0000 0.1324 0.5156 1
Se2 Se 0.0000 0.4277 0.7500 1
# - VASP energy (eV per atom) = -3.609


# NdYPt2 PBE optimized geometry
data_NdYPt2
_chemical_formula_sum 'Nd3 Y3 Pt6'
_cell_length_a 7.0151
_cell_length_b 7.0151
_cell_length_c 7.2163
_cell_angle_alpha 90.00
_cell_angle_beta 90.00
_cell_angle_gamma 120.00
_symmetry_space_group_name_H-M 'P 62 2 2'
_symmetry_Int_Tables_number 180
_symmetry_space_group_name_Hall 'P 62 2 (0 0 4)'
loop_
_atom_site_label
_atom_site_type_symbol
_atom_site_fract_x
_atom_site_fract_y
_atom_site_fract_z
_atom_site_occupancy
Nd1 Nd 0.0000 0.5000 0.1667 1
Y1 Y 0.0000 0.5000 0.6667 1
Pt1 Pt 0.1071 0.2141 0.0000 1
# - energy of formation from the pure elements (eV/atom) = -0.47


# Tm3In2SnPdPt2 PBE optimized geometry
data_Tm3In2SnPdPt2
_chemical_formula_sum 'Tm6 In4 Sn2 Pd2 Pt4'
_cell_length_a 3.7237
_cell_length_b 13.3209
_cell_length_c 7.7197
_cell_angle_alpha 90.00
_cell_angle_beta 90.00
_cell_angle_gamma 90.00
_symmetry_space_group_name_H-M 'A m m 2'
_symmetry_Int_Tables_number 38
_symmetry_space_group_name_Hall 'A 2 -2'
loop_
_atom_site_label
_atom_site_type_symbol
_atom_site_fract_x
_atom_site_fract_y
_atom_site_fract_z
_atom_site_occupancy
Tm1 Tm 0.0000 0.0000 0.0000 1
Tm2 Tm 0.0000 0.2051 0.3926 1
In1 In 0.5000 0.1316 0.7280 1
Sn1 Sn 0.5000 0.0000 0.3310 1
Pd1 Pd 0.0000 0.0000 0.5893 1
Pt1 Pt 0.5000 0.1662 0.0957 1
# - VASP energy (eV per atom) = -5.458


# CsSrAu PBE optimized geometry
data_CsSrAu
_chemical_formula_sum 'Cs4 Sr4 Au4'
_cell_length_a 8.1239
_cell_length_b 8.1239
_cell_length_c 8.1239
_cell_angle_alpha 90.00
_cell_angle_beta 90.00
_cell_angle_gamma 90.00
_symmetry_space_group_name_H-M 'F -4 3 m'
_symmetry_Int_Tables_number 216
_symmetry_space_group_name_Hall 'F -4 2 3'
loop_
_atom_site_label
_atom_site_type_symbol
_atom_site_fract_x
_atom_site_fract_y
_atom_site_fract_z
_atom_site_occupancy
Cs1 Cs 0.0000 0.0000 0.0000 1
Sr1 Sr 0.0000 0.0000 0.5000 1
Au1 Au 0.2500 0.2500 0.2500 1
# - VASP energy (eV per atom) = -2.143


# GeTePt PBE optimized geometry
data_GeTePt
_chemical_formula_sum 'Ge4 Te4 Pt4'
_cell_length_a 6.4569
_cell_length_b 6.4569
_cell_length_c 6.4569
_cell_angle_alpha 90.00
_cell_angle_beta 90.00
_cell_angle_gamma 90.00
_symmetry_space_group_name_H-M 'F -4 3 m'
_symmetry_Int_Tables_number 216
_symmetry_space_group_name_Hall 'F -4 2 3'
loop_
_atom_site_label
_atom_site_type_symbol
_atom_site_fract_x
_atom_site_fract_y
_atom_site_fract_z
_atom_site_occupancy
Ge1 Ge 0.0000 0.0000 0.0000 1
Te1 Te 0.0000 0.0000 0.5000 1
Pt1 Pt 0.2500 0.2500 0.2500 1
# - VASP energy (eV per atom) = -4.827


# YHoBC2 PBE optimized geometry
data_YHoBC2
_chemical_formula_sum 'Y2 Ho2 B2 C4'
_cell_length_a 5.1029
_cell_length_b 5.1020
_cell_length_c 6.0358
_cell_angle_alpha 90.00
_cell_angle_beta 114.21
_cell_angle_gamma 90.00
_symmetry_space_group_name_H-M 'C 1 m 1'
_symmetry_Int_Tables_number 8
_symmetry_space_group_name_Hall 'C -2y'
loop_
_atom_site_label
_atom_site_type_symbol
_atom_site_fract_x
_atom_site_fract_y
_atom_site_fract_z
_atom_site_occupancy
Y1 Y 0.0000 0.0000 0.0000 1
Ho1 Ho 0.3037 0.0000 0.5949 1
B1 B 0.1507 0.5000 0.2955 1
C1 C 0.0128 0.5000 0.0241 1
C2 C 0.2888 0.5000 0.5667 1
# - VASP energy (eV per atom) = -7.690


# TaTe2S2I PBE optimized geometry
data_TaTe2S2I
_chemical_formula_sum 'Ta2 Te4 S4 I2'
_cell_length_a 6.6055
_cell_length_b 7.8803
_cell_length_c 8.3111
_cell_angle_alpha 112.56
_cell_angle_beta 101.50
_cell_angle_gamma 102.16
_symmetry_space_group_name_H-M 'P -1'
_symmetry_Int_Tables_number 2
_symmetry_space_group_name_Hall '-P 1'
loop_
_atom_site_label
_atom_site_type_symbol
_atom_site_fract_x
_atom_site_fract_y
_atom_site_fract_z
_atom_site_occupancy
Ta1 Ta 0.2421 0.0021 0.4992 1
Te1 Te 0.3835 0.8508 0.1825 1
Te2 Te 0.4534 0.7424 0.5729 1
S1 S 0.0090 0.8695 0.6556 1
S2 S 0.1031 0.2844 0.6368 1
I1 I 0.2426 0.4035 0.0783 1
# - VASP energy (eV per atom) = -5.020


# PrHfNO PBE optimized geometry
data_PrHfNO
_chemical_formula_sum 'Pr4 Hf4 N4 O4'
_cell_length_a 6.6240
_cell_length_b 7.7304
_cell_length_c 5.4001
_cell_angle_alpha 90.00
_cell_angle_beta 90.00
_cell_angle_gamma 90.00
_symmetry_space_group_name_H-M 'P c a 21'
_symmetry_Int_Tables_number 29
_symmetry_space_group_name_Hall 'P 2c -2ac'
loop_
_atom_site_label
_atom_site_type_symbol
_atom_site_fract_x
_atom_site_fract_y
_atom_site_fract_z
_atom_site_occupancy
Pr1 Pr 0.0650 0.1321 0.0000 1
Hf1 Hf 0.1081 0.6461 0.9916 1
N1 N 0.0765 0.1548 0.4782 1
O1 O 0.0874 0.5504 0.6197 1
# - VASP energy (eV per atom) = -8.848


# GdTlPdS3 PBE optimized geometry
data_GdTlPdS3
_chemical_formula_sum 'Gd4 Tl4 Pd4 S12'
_cell_length_a 3.9633
_cell_length_b 14.6780
_cell_length_c 10.2427
_cell_angle_alpha 90.00
_cell_angle_beta 90.00
_cell_angle_gamma 90.00
_symmetry_space_group_name_H-M 'C m c m'
_symmetry_Int_Tables_number 63
_symmetry_space_group_name_Hall '-C 2c 2'
loop_
_atom_site_label
_atom_site_type_symbol
_atom_site_fract_x
_atom_site_fract_y
_atom_site_fract_z
_atom_site_occupancy
Gd1 Gd 0.0000 0.0000 0.0000 1
Tl1 Tl 0.0000 0.2420 0.2500 1
Pd1 Pd 0.0000 0.4904 0.7500 1
S1 S 0.0000 0.0837 0.7500 1
S2 S 0.0000 0.3793 0.5760 1
# - VASP energy (eV per atom) = -5.032


# PuHfAs PBE optimized geometry
data_PuHfAs
_chemical_formula_sum 'Pu4 Hf4 As4'
_cell_length_a 6.5757
_cell_length_b 6.5757
_cell_length_c 6.5757
_cell_angle_alpha 90.00
_cell_angle_beta 90.00
_cell_angle_gamma 90.00
_symmetry_space_group_name_H-M 'F -4 3 m'
_symmetry_Int_Tables_number 216
_symmetry_space_group_name_Hall 'F -4 2 3'
loop_
_atom_site_label
_atom_site_type_symbol
_atom_site_fract_x
_atom_site_fract_y
_atom_site_fract_z
_atom_site_occupancy
Pu1 Pu 0.0000 0.0000 0.0000 1
Hf1 Hf 0.2500 0.2500 0.7500 1
As1 As 0.0000 0.0000 0.5000 1
# - VASP energy (eV per atom) = -9.398


# ScBe2Co2 PBE optimized geometry
data_ScBe2Co2
_chemical_formula_sum 'Sc2 Be4 Co4'
_cell_length_a 3.6234
_cell_length_b 3.6234
_cell_length_c 9.0102
_cell_angle_alpha 90.00
_cell_angle_beta 90.00
_cell_angle_gamma 90.00
_symmetry_space_group_name_H-M 'I 4/m m m'
_symmetry_Int_Tables_number 139
_symmetry_space_group_name_Hall '-I 4 2'
loop_
_atom_site_label
_atom_site_type_symbol
_atom_site_fract_x
_atom_site_fract_y
_atom_site_fract_z
_atom_site_occupancy
Sc1 Sc 0.0000 0.0000 0.0000 1
Be1 Be 0.0000 0.5000 0.2500 1
Co1 Co 0.0000 0.0000 0.3774 1
# - VASP energy (eV per atom) = -5.766